Record 1
# MnTlGa2Se6 | the Alexandria database | PBE | relaxed
data_MnTlGa2Se6
_symmetry_space_group_name_H-M 'P 1'
_symmetry_Int_Tables_number 1
_cell_length_a 7.327
_cell_length_b 9.617
_cell_length_c 9.617
_cell_angle_alpha 89.41
_cell_angle_beta 73.85
_cell_angle_gamma 73.85
loop_
_symmetry_equiv_pos_as_xyz
'x,y,z'
loop_
_atom_site_label
_atom_site_type_symbol
_atom_site_fract_x
_atom_site_fract_y
_atom_site_fract_z
Se1 Se 0.957 0.353 0.788
Se2 Se 0.707 0.793 0.975
Se3 Se 0.043 0.647 0.212
Se4 Se 0.972 0.268 0.425
Se5 Se 0.472 0.425 0.268
Se6 Se 0.457 0.788 0.353
Se7 Se 0.207 0.975 0.793
Se8 Se 0.528 0.575 0.732
Se9 Se 0.028 0.732 0.575
Se10 Se 0.293 0.207 0.025
Se11 Se 0.543 0.212 0.647
Se12 Se 0.793 0.025 0.207
Ga1 Ga 0.666 0.246 0.383
Ga2 Ga 0.334 0.754 0.617
Ga3 Ga 0.834 0.617 0.754
Ga4 Ga 0.166 0.383 0.246
Tl1 Tl 0.250 0.895 0.105
Tl2 Tl 0.750 0.105 0.895
Mn1 Mn 0.250 0.203 0.797
Mn2 Mn 0.750 0.797 0.203
# - ρ: 4.647 Mg/m³
# - Crystal system: monoclinic
# - Formation energy from raw total energies: -285 meV per atom

Record 2
# Ta2W3 | the Alexandria database | PBE | relaxed
data_Ta2W3
_symmetry_space_group_name_H-M 'P 1'
_symmetry_Int_Tables_number 1
_cell_length_a 10.923
_cell_length_b 10.923
_cell_length_c 10.923
_cell_angle_alpha 16.04
_cell_angle_beta 16.04
_cell_angle_gamma 16.04
loop_
_symmetry_equiv_pos_as_xyz
'x,y,z'
loop_
_atom_site_label
_atom_site_type_symbol
_atom_site_fract_x
_atom_site_fract_y
_atom_site_fract_z
W1 W 0.198 0.198 0.198
W2 W 0.000 0.000 0.000
W3 W 0.802 0.802 0.802
Ta1 Ta 0.600 0.600 0.600
Ta2 Ta 0.400 0.400 0.400
# - ΔE_f: 321.9 meV/atom
# - ρ: 17.476 Mg/m³
# - Crystal system: trigonal
# - Energy above the most stable polymorph in this dataset: 425 meV per atom

Record 3
# SrAl2SbS6 | the Alexandria database | PBE | relaxed
data_SrAl2SbS6
_symmetry_space_group_name_H-M 'P 1'
_symmetry_Int_Tables_number 1
_cell_length_a 7.667
_cell_length_b 8.633
_cell_length_c 8.633
_cell_angle_alpha 74.45
_cell_angle_beta 70.41
_cell_angle_gamma 70.41
loop_
_symmetry_equiv_pos_as_xyz
'x,y,z'
loop_
_atom_site_label
_atom_site_type_symbol
_atom_site_fract_x
_atom_site_fract_y
_atom_site_fract_z
Sr1 Sr 0.750 0.183 0.817
Sr2 Sr 0.250 0.817 0.183
S1 S 0.432 0.406 0.289
S2 S 0.932 0.289 0.406
S3 S 0.095 0.618 0.070
S4 S 0.350 0.181 0.021
S5 S 0.905 0.382 0.930
S6 S 0.568 0.594 0.711
S7 S 0.405 0.930 0.382
S8 S 0.595 0.070 0.618
S9 S 0.068 0.711 0.594
S10 S 0.850 0.021 0.181
S11 S 0.150 0.979 0.819
S12 S 0.650 0.819 0.979
Sb1 Sb 0.250 0.239 0.761
Sb2 Sb 0.750 0.761 0.239
Al1 Al 0.806 0.641 0.788
Al2 Al 0.194 0.359 0.212
Al3 Al 0.306 0.788 0.641
Al4 Al 0.694 0.212 0.359
# - ρ: 3.031 Mg/m³
# - Crystal system: monoclinic
# - Formation energy from raw total energies: -890 meV per atom

Record 4
# SmGdThHg | the Alexandria database | PBE | relaxed
data_SmGdThHg
_symmetry_space_group_name_H-M 'P 1'
_symmetry_Int_Tables_number 1
_cell_length_a 5.492
_cell_length_b 5.492
_cell_length_c 5.492
_cell_angle_alpha 60.00
_cell_angle_beta 60.00
_cell_angle_gamma 60.00
loop_
_symmetry_equiv_pos_as_xyz
'x,y,z'
loop_
_atom_site_label
_atom_site_type_symbol
_atom_site_fract_x
_atom_site_fract_y
_atom_site_fract_z
Hg1 Hg 0.250 0.250 0.250
Sm1 Sm 0.500 0.500 0.500
Gd1 Gd 0.000 0.000 0.000
Th1 Th 0.750 0.750 0.750
# - ΔE_f: 45.5 meV/atom
# - ρ: 10.493 Mg/m³
# - Crystal system: cubic

Record 5
# AcLa4Pm15 | the Alexandria database | PBE | relaxed
data_AcLa4Pm15
_symmetry_space_group_name_H-M 'P 1'
_symmetry_Int_Tables_number 1
_cell_length_a 5.226
_cell_length_b 5.226
_cell_length_c 26.008
_cell_angle_alpha 90.00
_cell_angle_beta 90.00
_cell_angle_gamma 90.00
loop_
_symmetry_equiv_pos_as_xyz
'x,y,z'
loop_
_atom_site_label
_atom_site_type_symbol
_atom_site_fract_x
_atom_site_fract_y
_atom_site_fract_z
La1 La 0.000 0.000 0.600
La2 La 0.000 0.000 0.400
La3 La 0.000 0.000 0.202
La4 La 0.000 0.000 0.798
Pm1 Pm 0.500 0.000 0.699
Pm2 Pm 0.500 0.000 0.301
Pm3 Pm 0.500 0.500 0.401
Pm4 Pm 0.500 0.500 0.599
Pm5 Pm 0.500 0.500 0.000
Pm6 Pm 0.500 0.500 0.202
Pm7 Pm 0.000 0.500 0.103
Pm8 Pm 0.500 0.000 0.103
Pm9 Pm 0.500 0.500 0.798
Pm10 Pm 0.500 0.000 0.897
Pm11 Pm 0.000 0.500 0.301
Pm12 Pm 0.000 0.500 0.500
Pm13 Pm 0.500 0.000 0.500
Pm14 Pm 0.000 0.500 0.897
Pm15 Pm 0.000 0.500 0.699
Ac1 Ac 0.000 0.000 0.000
# - ΔE_f: 20.6 meV/atom
# - ρ: 6.913 Mg/m³
# - Crystal system: tetragonal

Record 6
# BeCoBTe | the Alexandria database | PBE | relaxed
data_BeCoBTe
_symmetry_space_group_name_H-M 'P 1'
_symmetry_Int_Tables_number 1
_cell_length_a 3.471
_cell_length_b 4.236
_cell_length_c 4.409
_cell_angle_alpha 92.97
_cell_angle_beta 89.89
_cell_angle_gamma 114.00
loop_
_symmetry_equiv_pos_as_xyz
'x,y,z'
loop_
_atom_site_label
_atom_site_type_symbol
_atom_site_fract_x
_atom_site_fract_y
_atom_site_fract_z
B1 B 0.482 0.376 0.011
Be1 Be 0.975 0.361 0.746
Te1 Te 0.286 0.983 0.439
Co1 Co 0.983 0.378 0.220
# - ρ: 5.794 Mg/m³
# - Crystal system: triclinic
# - Energy above the most stable polymorph in this dataset: 227 meV per atom
# - Formation energy from raw total energies: 285 meV per atom

Record 7
# Ho8Pb2C | the Alexandria database | PBE | relaxed
data_Ho8Pb2C
_symmetry_space_group_name_H-M 'P 1'
_symmetry_Int_Tables_number 1
_cell_length_a 5.571
_cell_length_b 6.503
_cell_length_c 9.204
_cell_angle_alpha 108.77
_cell_angle_beta 107.62
_cell_angle_gamma 90.00
loop_
_symmetry_equiv_pos_as_xyz
'x,y,z'
loop_
_atom_site_label
_atom_site_type_symbol
_atom_site_fract_x
_atom_site_fract_y
_atom_site_fract_z
Ho1 Ho 0.797 0.771 0.594
Ho2 Ho 0.591 0.366 0.181
Ho3 Ho 0.409 0.634 0.819
Ho4 Ho 0.616 0.902 0.232
Ho5 Ho 0.203 0.229 0.406
Ho6 Ho 0.008 0.766 0.017
Ho7 Ho 0.992 0.234 0.983
Ho8 Ho 0.384 0.098 0.768
Pb1 Pb 0.810 0.297 0.621
Pb2 Pb 0.190 0.703 0.379
C1 C 0.500 0.000 0.000
# - ΔE_f: -101.5 meV/atom
# - ρ: 9.692 Mg/m³
# - Crystal system: monoclinic

Record 8
# Pr5BiRu2 | the Alexandria database | PBE | relaxed
data_Pr5BiRu2
_symmetry_space_group_name_H-M 'P 1'
_symmetry_Int_Tables_number 1
_cell_length_a 8.076
_cell_length_b 8.076
_cell_length_c 9.103
_cell_angle_alpha 116.33
_cell_angle_beta 116.33
_cell_angle_gamma 90.00
loop_
_symmetry_equiv_pos_as_xyz
'x,y,z'
loop_
_atom_site_label
_atom_site_type_symbol
_atom_site_fract_x
_atom_site_fract_y
_atom_site_fract_z
Pr1 Pr 0.974 0.474 0.263
Pr2 Pr 0.789 0.974 0.263
Pr3 Pr 0.711 0.211 0.737
Pr4 Pr 0.474 0.289 0.263
Pr5 Pr 0.211 0.026 0.737
Pr6 Pr 0.289 0.789 0.263
Pr7 Pr 0.500 0.500 0.000
Pr8 Pr 0.526 0.711 0.737
Pr9 Pr 0.000 0.000 0.000
Pr10 Pr 0.026 0.526 0.737
Bi1 Bi 0.250 0.250 0.500
Bi2 Bi 0.750 0.750 0.500
Ru1 Ru 0.643 0.143 0.000
Ru2 Ru 0.357 0.857 0.000
Ru3 Ru 0.143 0.357 0.000
Ru4 Ru 0.857 0.643 0.000
# - ΔE_f: -374.6 meV/atom
# - ρ: 8.014 Mg/m³
# - Crystal system: tetragonal

Record 9
# KCeBe2F8 | the Alexandria database | PBE | relaxed
data_KCeBe2F8
_symmetry_space_group_name_H-M 'P 1'
_symmetry_Int_Tables_number 1
_cell_length_a 5.086
_cell_length_b 5.086
_cell_length_c 8.338
_cell_angle_alpha 72.24
_cell_angle_beta 72.24
_cell_angle_gamma 60.00
loop_
_symmetry_equiv_pos_as_xyz
'x,y,z'
loop_
_atom_site_label
_atom_site_type_symbol
_atom_site_fract_x
_atom_site_fract_y
_atom_site_fract_z
F1 F 0.481 0.057 0.682
F2 F 0.318 0.318 0.046
F3 F 0.220 0.943 0.318
F4 F 0.057 0.780 0.682
F5 F 0.682 0.682 0.954
F6 F 0.943 0.519 0.318
F7 F 0.519 0.220 0.318
F8 F 0.780 0.481 0.682
Be1 Be 0.255 0.255 0.236
Be2 Be 0.745 0.745 0.764
K1 K 0.000 0.000 0.000
Ce1 Ce 0.500 0.500 0.500
# - ρ: 3.317 Mg/m³
# - Crystal system: trigonal
# - Formation energy from raw total energies: -3415 meV per atom

Record 10
# La3Zn9Ag2 | the Alexandria database | PBE | relaxed
data_La3Zn9Ag2
_symmetry_space_group_name_H-M 'P 1'
_symmetry_Int_Tables_number 1
_cell_length_a 4.586
_cell_length_b 8.494
_cell_length_c 8.494
_cell_angle_alpha 63.90
_cell_angle_beta 74.34
_cell_angle_gamma 74.34
loop_
_symmetry_equiv_pos_as_xyz
'x,y,z'
loop_
_atom_site_label
_atom_site_type_symbol
_atom_site_fract_x
_atom_site_fract_y
_atom_site_fract_z
Zn1 Zn 0.336 0.306 0.022
Zn2 Zn 0.664 0.694 0.978
Zn3 Zn 0.137 0.148 0.579
Zn4 Zn 0.664 0.978 0.694
Zn5 Zn 0.336 0.022 0.306
Zn6 Zn 0.863 0.421 0.852
Zn7 Zn 0.137 0.579 0.148
Zn8 Zn 0.000 0.500 0.500
Zn9 Zn 0.863 0.852 0.421
La1 La 0.703 0.297 0.297
La2 La 0.297 0.703 0.703
La3 La 0.000 0.000 0.000
Ag1 Ag 0.500 0.692 0.308
Ag2 Ag 0.500 0.308 0.692
# - ΔE_f: -321.7 meV/atom
# - ρ: 7.199 Mg/m³
# - Crystal system: orthorhombic

| no. | final energy (eV per atom) |
| --- | --- |
| 1 | -4.1347 |
| 2 | -12.1910 |
| 3 | -4.6957 |
| 4 | -6.5849 |
| 5 | -4.7333 |
| 6 | -4.8776 |
| 7 | -4.9435 |
| 8 | -6.1658 |
| 9 | -5.8692 |
| 10 | -2.6039 |